# Ba2ZrBeAl

Ba2ZrBeAl after structural relaxation (PBE, the Alexandria database).

Output
- magnetic moment (μB per formula unit) = 0.00
- energy of formation (eV/atom) = 0.71
- energy (eV per cell) = -16.329
- volume (Å³/f.u.) = 180.2

Cell: 6.126 4.802 6.126 Å, 90.00 90.00 90.00°
Positions (direct):
Ba 0.000 0.000 0.500
Ba 0.500 0.000 0.000
Be 0.000 0.000 0.000
Al 0.500 0.500 0.500
Zr 0.000 0.500 0.000